1.
Compound: NaInGePt
Source: OQMD via LeMat-Bulk
Functional: PBE
Structure: optimized geometry

Geometry as CIF:
```
data_NaInGePt
_space_group_name_H-M_alt 'P 1'
_space_group_IT_number 1
_cell_length_a 6.664
_cell_length_b 6.664
_cell_length_c 6.664
_cell_angle_alpha 90.00
_cell_angle_beta 90.00
_cell_angle_gamma 90.00
loop_
_space_group_symop_operation_xyz
'x,y,z'
loop_
_atom_site_label
_atom_site_type_symbol
_atom_site_fract_x
_atom_site_fract_y
_atom_site_fract_z
Na1 Na 0.000 0.000 0.000
Na2 Na 0.000 0.500 0.500
Na3 Na 0.500 0.000 0.500
Na4 Na 0.500 0.500 0.000
In1 In 0.250 0.250 0.750
In2 In 0.250 0.750 0.250
In3 In 0.750 0.250 0.250
In4 In 0.750 0.750 0.750
Ge1 Ge 0.250 0.250 0.250
Ge2 Ge 0.250 0.750 0.750
Ge3 Ge 0.750 0.250 0.750
Ge4 Ge 0.750 0.750 0.250
Pt1 Pt 0.000 0.000 0.500
Pt2 Pt 0.000 0.500 0.000
Pt3 Pt 0.500 0.000 0.000
Pt4 Pt 0.500 0.500 0.500
```

***

2.
Compound: NaInGePt
Source: OQMD via LeMat-Bulk
Functional: PBE
Structure: optimized geometry

Geometry as CIF:
```
data_NaInGePt
_space_group_name_H-M_alt 'P 1'
_space_group_IT_number 1
_cell_length_a 6.756
_cell_length_b 6.756
_cell_length_c 6.756
_cell_angle_alpha 90.00
_cell_angle_beta 90.00
_cell_angle_gamma 90.00
loop_
_space_group_symop_operation_xyz
'x,y,z'
loop_
_atom_site_label
_atom_site_type_symbol
_atom_site_fract_x
_atom_site_fract_y
_atom_site_fract_z
Na1 Na 0.000 0.000 0.000
Na2 Na 0.000 0.500 0.500
Na3 Na 0.500 0.000 0.500
Na4 Na 0.500 0.500 0.000
In1 In 0.250 0.250 0.750
In2 In 0.250 0.750 0.250
In3 In 0.750 0.250 0.250
In4 In 0.750 0.750 0.750
Ge1 Ge 0.000 0.000 0.500
Ge2 Ge 0.000 0.500 0.000
Ge3 Ge 0.500 0.000 0.000
Ge4 Ge 0.500 0.500 0.500
Pt1 Pt 0.250 0.250 0.250
Pt2 Pt 0.250 0.750 0.750
Pt3 Pt 0.750 0.250 0.750
Pt4 Pt 0.750 0.750 0.250
```

***

Quick one: least stable of them? 2

***

1.
Compound: UInGe
Source: OQMD via LeMat-Bulk
Functional: PBE
Structure: optimized geometry

Geometry as CIF:
```
data_UInGe
_space_group_name_H-M_alt 'P 1'
_space_group_IT_number 1
_cell_length_a 6.876
_cell_length_b 6.876
_cell_length_c 6.876
_cell_angle_alpha 90.00
_cell_angle_beta 90.00
_cell_angle_gamma 90.00
loop_
_space_group_symop_operation_xyz
'x,y,z'
loop_
_atom_site_label
_atom_site_type_symbol
_atom_site_fract_x
_atom_site_fract_y
_atom_site_fract_z
U1 U 0.000 0.000 0.000
U2 U 0.000 0.500 0.500
U3 U 0.500 0.000 0.500
U4 U 0.500 0.500 0.000
In1 In 0.250 0.250 0.750
In2 In 0.250 0.750 0.250
In3 In 0.750 0.250 0.250
In4 In 0.750 0.750 0.750
Ge1 Ge 0.000 0.000 0.500
Ge2 Ge 0.000 0.500 0.000
Ge3 Ge 0.500 0.000 0.000
Ge4 Ge 0.500 0.500 0.500
```

***

2.
Compound: UInGe
Source: OQMD via LeMat-Bulk
Functional: PBE
Structure: optimized geometry

Geometry as CIF:
```
data_UInGe
_space_group_name_H-M_alt 'P 1'
_space_group_IT_number 1
_cell_length_a 6.951
_cell_length_b 6.951
_cell_length_c 6.951
_cell_angle_alpha 90.00
_cell_angle_beta 90.00
_cell_angle_gamma 90.00
loop_
_space_group_symop_operation_xyz
'x,y,z'
loop_
_atom_site_label
_atom_site_type_symbol
_atom_site_fract_x
_atom_site_fract_y
_atom_site_fract_z
U1 U 0.000 0.000 0.000
U2 U 0.000 0.500 0.500
U3 U 0.500 0.000 0.500
U4 U 0.500 0.500 0.000
In1 In 0.250 0.250 0.750
In2 In 0.250 0.750 0.250
In3 In 0.750 0.250 0.250
In4 In 0.750 0.750 0.750
Ge1 Ge 0.250 0.250 0.250
Ge2 Ge 0.250 0.750 0.750
Ge3 Ge 0.750 0.250 0.750
Ge4 Ge 0.750 0.750 0.250
```

***

Quick one: least stable of them? 1